## ZnCo4Au (PBE-GGA)

Data for an optimized crystal structure of ZnCo4Au.

a b c (Å): 4.790 4.790 4.790
angles (deg): 60.00 60.00 60.00
Positions (direct):
Zn 0.000 0.000 0.000
Co 0.124 0.625 0.625
Co 0.625 0.124 0.625
Co 0.625 0.625 0.124
Co 0.625 0.625 0.625
Au 0.250 0.250 0.250

## Properties
E_form	0.17	eV/atom
uncorrected energy	-5.327	eV per atom